# 1
First-principles (PBE) data for a geometry-optimized PaPd3Pt structure, as listed in the Alexandria database.

Computed properties:
For the density of states at the Fermi level, the calculation gives 2.27 states/eV/f.u. The value obtained for the energy above the lowest structure with this stoichiometry is 0.258 eV/atom. The energy relative to the elements is -0.346 eV/atom.

CIF file:
```
data_PaPd3Pt
_cell_length_a 5.106
_cell_length_b 7.699
_cell_length_c 9.755
_cell_angle_alpha 90.00
_cell_angle_beta 90.00
_cell_angle_gamma 90.00
_symmetry_space_group_name_H-M 'I m m a'
_symmetry_Int_Tables_number 74
_symmetry_space_group_name_Hall '-I 2b 2'
loop_
_atom_site_label
_atom_site_type_symbol
_atom_site_fract_x
_atom_site_fract_y
_atom_site_fract_z
Pa1 Pa 0.000 0.250 0.002
Pd1 Pd 0.000 0.062 0.788
Pd2 Pd 0.250 0.250 0.250
Pt1 Pt 0.000 0.000 0.500
```

# 2
First-principles (PBE) data for a geometry-optimized NaBPb structure, as listed in the Alexandria database.

Computed properties:
For the density of states at the Fermi level, the calculation gives 0.70 states/eV/f.u. The energy relative to the elements is 0.141 eV/atom.

CIF file:
```
data_NaBPb
_cell_length_a 3.201
_cell_length_b 5.141
_cell_length_c 8.758
_cell_angle_alpha 90.00
_cell_angle_beta 91.88
_cell_angle_gamma 90.00
_symmetry_space_group_name_H-M 'P 1 m 1'
_symmetry_Int_Tables_number 6
loop_
_symmetry_equiv_pos_as_xyz
'x,y,z'
'x,-y,z'
loop_
_atom_site_label
_atom_site_type_symbol
_atom_site_fract_x
_atom_site_fract_y
_atom_site_fract_z
Na1 Na 0.000 0.000 0.000
Na2 Na 0.418 0.500 0.324
B1 B 0.362 0.500 0.029
B2 B 0.859 0.500 0.039
Pb1 Pb 0.449 0.500 0.728
Pb2 Pb 0.930 0.000 0.535
```

# 3
First-principles (PBE) data for a geometry-optimized LaCe3Pr4N8 structure, as listed in the Alexandria database.

Computed properties:
For the density of states at the Fermi level, the calculation gives 8.58 states/eV/f.u. Its raw formation energy is -1.39 eV per atom.

CIF file:
```
data_LaCe3Pr4N8
_cell_length_a 7.2916
_cell_length_b 7.2916
_cell_length_c 17.8495
_cell_angle_alpha 90.00
_cell_angle_beta 90.00
_cell_angle_gamma 120.00
_symmetry_space_group_name_H-M 'R -3 m'
_symmetry_Int_Tables_number 166
_symmetry_space_group_name_Hall '-R 3 2"'
loop_
_atom_site_label
_atom_site_type_symbol
_atom_site_fract_x
_atom_site_fract_y
_atom_site_fract_z
La1 La 0.0000 0.0000 0.0000
Ce1 Ce 0.0000 0.5000 0.0000
Pr1 Pr 0.0000 0.0000 0.5000
Pr2 Pr 0.0000 0.5000 0.5000
N1 N 0.0000 0.0000 0.2561
N2 N 0.0111 0.5056 0.2549
```

# 4
First-principles (PBE) data for a geometry-optimized LiDyGa2Pd2 structure, as listed in the Alexandria database.

Computed properties:
For the density of states at the Fermi level, the calculation gives 3.40 states/eV/f.u. The energy relative to the elements is -0.727 eV/atom.

CIF file:
```
data_LiDyGa2Pd2
_cell_length_a 4.3893
_cell_length_b 4.3893
_cell_length_c 6.4101
_cell_angle_alpha 90.00
_cell_angle_beta 90.00
_cell_angle_gamma 120.00
_symmetry_space_group_name_H-M 'P -3 m 1'
_symmetry_Int_Tables_number 164
_symmetry_space_group_name_Hall '-P 3 2"'
loop_
_atom_site_label
_atom_site_type_symbol
_atom_site_fract_x
_atom_site_fract_y
_atom_site_fract_z
Li1 Li 0.0000 0.0000 0.0000
Dy1 Dy 0.0000 0.0000 0.5000
Ga1 Ga 0.3333 0.6667 0.8042
Pd1 Pd 0.3333 0.6667 0.2160
```

# 5
First-principles (PBE) data for a geometry-optimized SrSi2Rh2 structure, as listed in the Alexandria database.

Computed properties:
For the density of states at the Fermi level, the calculation gives 3.17 states/eV/f.u. Its raw formation energy is -0.42 eV per atom.

CIF file:
```
data_SrSi2Rh2
_cell_length_a 7.615
_cell_length_b 7.615
_cell_length_c 2.865
_cell_angle_alpha 90.00
_cell_angle_beta 90.00
_cell_angle_gamma 90.00
_symmetry_space_group_name_H-M 'P 4/m b m'
_symmetry_Int_Tables_number 127
_symmetry_space_group_name_Hall '-P 4 2ab'
loop_
_atom_site_label
_atom_site_type_symbol
_atom_site_fract_x
_atom_site_fract_y
_atom_site_fract_z
Sr1 Sr 0.000 0.000 0.000
Si1 Si 0.146 0.354 0.500
Rh1 Rh 0.135 0.635 0.000
```

# 6
First-principles (PBE) data for a geometry-optimized Sr3EuPd structure, as listed in the Alexandria database.

Computed properties:
For the density of states at the Fermi level, the calculation gives 3.62 states/eV/f.u. The energy relative to the elements is -0.248 eV/atom.

CIF file:
```
data_Sr3EuPd
_cell_length_a 6.063
_cell_length_b 6.063
_cell_length_c 6.063
_cell_angle_alpha 90.00
_cell_angle_beta 90.00
_cell_angle_gamma 90.00
_symmetry_space_group_name_H-M 'P m -3 m'
_symmetry_Int_Tables_number 221
_symmetry_space_group_name_Hall '-P 4 2 3'
loop_
_atom_site_label
_atom_site_type_symbol
_atom_site_fract_x
_atom_site_fract_y
_atom_site_fract_z
Sr1 Sr 0.000 0.000 0.500
Eu1 Eu 0.500 0.500 0.500
Pd1 Pd 0.000 0.000 0.000
```

# 7
First-principles (PBE) data for a geometry-optimized Pr2Cd9Ag6 structure, as listed in the Alexandria database.

Computed properties:
For the density of states at the Fermi level, the calculation gives 7.42 states/eV/f.u. The energy relative to the elements is -0.088 eV/atom.

CIF file:
```
data_Pr2Cd9Ag6
_cell_length_a 5.8145
_cell_length_b 5.8145
_cell_length_c 14.2817
_cell_angle_alpha 90.00
_cell_angle_beta 90.00
_cell_angle_gamma 120.00
_symmetry_space_group_name_H-M 'P 6/m m m'
_symmetry_Int_Tables_number 191
_symmetry_space_group_name_Hall '-P 6 2'
loop_
_atom_site_label
_atom_site_type_symbol
_atom_site_fract_x
_atom_site_fract_y
_atom_site_fract_z
Pr1 Pr 0.0000 0.0000 0.1478
Cd1 Cd 0.0000 0.5000 0.0000
Cd2 Cd 0.0000 0.5000 0.3350
Ag1 Ag 0.3333 0.6667 0.1691
Ag2 Ag 0.3333 0.6667 0.5000
```

# 8
First-principles (PBE) data for a geometry-optimized Li5Sc2Zn12 structure, as listed in the Alexandria database.

Computed properties:
For the density of states at the Fermi level, the calculation gives 9.26 states/eV/f.u. The energy relative to the elements is -0.193 eV/atom.

CIF file:
```
data_Li5Sc2Zn12
_cell_length_a 8.8638
_cell_length_b 8.8638
_cell_length_c 12.9268
_cell_angle_alpha 90.00
_cell_angle_beta 90.00
_cell_angle_gamma 120.00
_symmetry_space_group_name_H-M 'R -3 m'
_symmetry_Int_Tables_number 166
_symmetry_space_group_name_Hall '-R 3 2"'
loop_
_atom_site_label
_atom_site_type_symbol
_atom_site_fract_x
_atom_site_fract_y
_atom_site_fract_z
Li1 Li 0.0000 0.0000 0.0979
Li2 Li 0.0000 0.5000 0.5000
Sc1 Sc 0.0000 0.0000 0.3481
Zn1 Zn 0.0000 0.3038 0.0000
Zn2 Zn 0.0051 0.5025 0.1538
```

# 9
First-principles (PBE) data for a geometry-optimized Rb2NbAgS4 structure, as listed in the Alexandria database.

Computed properties:
For the density of states at the Fermi level, the calculation gives 0.00 states/eV/f.u. The value obtained for the energy above the lowest structure with this stoichiometry is 0.023 eV/atom. Its raw formation energy is -1.00 eV per atom.

CIF file:
```
data_Rb2NbAgS4
_cell_length_a 5.916
_cell_length_b 13.912
_cell_length_c 24.302
_cell_angle_alpha 90.00
_cell_angle_beta 90.00
_cell_angle_gamma 90.00
_symmetry_space_group_name_H-M 'F d d d'
_symmetry_Int_Tables_number 70
loop_
_symmetry_equiv_pos_as_xyz
'x,y,z'
'-x,-y,-z'
'-x+1/4,-y+1/4,z'
'x+1/4,y+1/4,-z'
'x,-y+1/4,-z+1/4'
'-x,y+1/4,z+1/4'
'-x+1/4,y,-z+1/4'
'x+1/4,-y,z+1/4'
'x,y+1/2,z+1/2'
'-x,-y+1/2,-z+1/2'
'-x+1/4,-y+3/4,z+1/2'
'x+1/4,y+3/4,-z+1/2'
'x,-y+3/4,-z+3/4'
'-x,y+3/4,z+3/4'
'-x+1/4,y+1/2,-z+3/4'
'x+1/4,-y+1/2,z+3/4'
'x+1/2,y,z+1/2'
'-x+1/2,-y,-z+1/2'
'-x+3/4,-y+1/4,z+1/2'
'x+3/4,y+1/4,-z+1/2'
'x+1/2,-y+1/4,-z+3/4'
'-x+1/2,y+1/4,z+3/4'
'-x+3/4,y,-z+3/4'
'x+3/4,-y,z+3/4'
'x+1/2,y+1/2,z'
'-x+1/2,-y+1/2,-z'
'-x+3/4,-y+3/4,z'
'x+3/4,y+3/4,-z'
'x+1/2,-y+3/4,-z+1/4'
'-x+1/2,y+3/4,z+1/4'
'-x+3/4,y+1/2,-z+1/4'
'x+3/4,-y+1/2,z+1/4'
loop_
_atom_site_label
_atom_site_type_symbol
_atom_site_fract_x
_atom_site_fract_y
_atom_site_fract_z
Rb1 Rb 0.125 0.125 0.303
Nb1 Nb 0.125 0.125 0.625
Ag1 Ag 0.125 0.125 0.125
S1 S 0.093 0.276 0.820
```

# 10
First-principles (PBE) data for a geometry-optimized CePrPuIn structure, as listed in the Alexandria database.

Computed properties:
For the density of states at the Fermi level, the calculation gives 8.82 states/eV/f.u. The energy relative to the elements is -0.035 eV/atom.

CIF file:
```
data_CePrPuIn
_cell_length_a 7.684
_cell_length_b 7.684
_cell_length_c 7.684
_cell_angle_alpha 90.00
_cell_angle_beta 90.00
_cell_angle_gamma 90.00
_symmetry_space_group_name_H-M 'F -4 3 m'
_symmetry_Int_Tables_number 216
_symmetry_space_group_name_Hall 'F -4 2 3'
loop_
_atom_site_label
_atom_site_type_symbol
_atom_site_fract_x
_atom_site_fract_y
_atom_site_fract_z
Ce1 Ce 0.000 0.000 0.000
Pr1 Pr 0.250 0.250 0.750
Pu1 Pu 0.250 0.250 0.250
In1 In 0.000 0.000 0.500
```

# 11
First-principles (PBE) data for a geometry-optimized CeYSb structure, as listed in the Alexandria database.

Computed properties:
For the density of states at the Fermi level, the calculation gives 6.48 states/eV/f.u. Its raw formation energy is -0.51 eV per atom.

CIF file:
```
data_CeYSb
_cell_length_a 4.9561
_cell_length_b 4.9561
_cell_length_c 25.3960
_cell_angle_alpha 90.00
_cell_angle_beta 90.00
_cell_angle_gamma 120.00
_symmetry_space_group_name_H-M 'R -3 m'
_symmetry_Int_Tables_number 166
_symmetry_space_group_name_Hall '-R 3 2"'
loop_
_atom_site_label
_atom_site_type_symbol
_atom_site_fract_x
_atom_site_fract_y
_atom_site_fract_z
Ce1 Ce 0.0000 0.0000 0.1428
Y1 Y 0.0000 0.0000 0.2891
Sb1 Sb 0.0000 0.0000 0.4153
```